1.
# LaCd2PtPb

An optimized crystal structure of LaCd2PtPb (PBE, the Alexandria database).

Calculated values
Fermi-level density of states (states/eV/cell): 2.132
Energy (eV/cell): -18.387
Energy of formation (meV/atom): -376
Calculated volume (Å³ per atom): 29.93

Unit cell a=5.257 b=5.257 c=5.415 alpha=90.00 beta=90.00 gamma=90.00
Space group P4/mmm (No. 123)
Asymmetric unit:
1 La 0.000 0.000 0.000
2 Cd 0.000 0.500 0.500
3 Pt 0.000 0.000 0.500
4 Pb 0.500 0.500 0.000


2.
# La2CdPtPb

An optimized crystal structure of La2CdPtPb (PBE, the Alexandria database).

Calculated values
Fermi-level density of states (states/eV/cell): 3.986
Energy (eV/cell): -23.335
Energy of formation (meV/atom): -563
Calculated volume (Å³ per atom): 32.54

Unit cell a=5.592 b=5.592 c=5.202 alpha=90.00 beta=90.00 gamma=90.00
Space group P4/mmm (No. 123)
Asymmetric unit:
1 La 0.000 0.500 0.000
2 Cd 0.000 0.000 0.500
3 Pt 0.000 0.000 0.000
4 Pb 0.500 0.500 0.500


3.
# LaPuCdPb

An optimized crystal structure of LaPuCdPb (PBE, the Alexandria database).

Calculated values
Fermi-level density of states (states/eV/cell): 44.588
Energy (eV/cell): -99.488
Energy of formation (meV/atom): -247
Calculated volume (Å³ per atom): 29.92

Unit cell a=7.823 b=7.823 c=7.823 alpha=90.00 beta=90.00 gamma=90.00
Space group F-43m (No. 216)
Asymmetric unit:
1 La 0.000 0.000 0.000
2 Pu 0.000 0.000 0.500
3 Cd 0.250 0.250 0.750
4 Pb 0.250 0.250 0.250


4.
# La2CdRhPb

An optimized crystal structure of La2CdRhPb (PBE, the Alexandria database).

Calculated values
Fermi-level density of states (states/eV/cell): 3.141
Energy (eV/cell): -24.302
Energy of formation (meV/atom): -494
Calculated volume (Å³ per atom): 30.88

Unit cell a=5.437 b=5.437 c=5.225 alpha=90.00 beta=90.00 gamma=90.00
Space group P4/mmm (No. 123)
Asymmetric unit:
1 La 0.000 0.500 0.000
2 Cd 0.000 0.000 0.500
3 Rh 0.000 0.000 0.000
4 Pb 0.500 0.500 0.500


5.
# LaCdRhPb2

An optimized crystal structure of LaCdRhPb2 (PBE, the Alexandria database).

Calculated values
Fermi-level density of states (states/eV/cell): 2.984
Energy (eV/cell): -21.854
Energy of formation (meV/atom): -249
Calculated volume (Å³ per atom): 30.15

Unit cell a=5.357 b=5.357 c=5.253 alpha=90.00 beta=90.00 gamma=90.00
Space group P4/mmm (No. 123)
Asymmetric unit:
1 La 0.000 0.000 0.000
2 Cd 0.500 0.500 0.000
3 Rh 0.000 0.000 0.500
4 Pb 0.000 0.500 0.500


6.
# La2CdRhPb

An optimized crystal structure of La2CdRhPb (PBE, the Alexandria database).

Calculated values
Fermi-level density of states (states/eV/cell): 4.317
Energy (eV/cell): -23.821
Energy of formation (meV/atom): -398
Calculated volume (Å³ per atom): 31.70

Unit cell a=5.505 b=5.505 c=5.230 alpha=90.00 beta=90.00 gamma=90.00
Space group P4/mmm (No. 123)
Asymmetric unit:
1 La 0.000 0.500 0.000
2 Cd 0.000 0.000 0.500
3 Rh 0.500 0.500 0.000
4 Pb 0.500 0.500 0.500


7.
# LaCdSnPb

An optimized crystal structure of LaCdSnPb (PBE, the Alexandria database).

Calculated values
Fermi-level density of states (states/eV/cell): 1.732
Energy (eV/cell): -15.493
Energy of formation (meV/atom): -485
Calculated volume (Å³ per atom): 27.98

Unit cell a=4.655 b=4.892 c=4.914 alpha=90.00 beta=90.00 gamma=90.00
Space group Pmmm (No. 47)
Asymmetric unit:
1 La 0.000 0.000 0.000
2 Cd 0.000 0.500 0.500
3 Sn 0.500 0.500 0.000
4 Pb 0.500 0.000 0.500


8.
# SrLa2Cd2Pb2

An optimized crystal structure of SrLa2Cd2Pb2 (PBE, the Alexandria database).

Calculated values
Fermi-level density of states (states/eV/cell): 21.871
Energy (eV/cell): -68.453
Energy of formation (meV/atom): -291
Calculated volume (Å³ per atom): 32.47

Unit cell a=5.2063 b=5.2063 c=29.0478 alpha=90.00 beta=90.00 gamma=120.00
Space group R-3m (No. 166, hexagonal axes)
Asymmetric unit:
1 Sr 0.0000 0.0000 0.0000
2 La 0.0000 0.0000 0.1354
3 Cd 0.0000 0.0000 0.4280
4 Pb 0.0000 0.0000 0.2633


9.
# SrLaCdPb

An optimized crystal structure of SrLaCdPb (PBE, the Alexandria database).

Calculated values
Fermi-level density of states (states/eV/cell): 3.384
Energy (eV/cell): -12.968
Energy of formation (meV/atom): -434
Calculated volume (Å³ per atom): 32.83

Unit cell a=4.015 b=4.015 c=8.147 alpha=90.00 beta=90.00 gamma=90.00
Space group P4mm (No. 99)
Asymmetric unit:
1 Sr 0.000 0.000 0.000
2 La 0.000 0.000 0.510
3 Cd 0.500 0.500 0.748
4 Pb 0.500 0.500 0.263


10.
# LaTiCdPb2

An optimized crystal structure of LaTiCdPb2 (PBE, the Alexandria database).

Calculated values
Fermi-level density of states (states/eV/cell): 6.965
Energy (eV/cell): -17.332
Energy of formation (meV/atom): 765
Calculated volume (Å³ per atom): 35.74

Unit cell a=5.534 b=5.534 c=5.836 alpha=90.00 beta=90.00 gamma=90.00
Space group P4/mmm (No. 123)
Asymmetric unit:
1 La 0.000 0.000 0.000
2 Ti 0.500 0.500 0.000
3 Cd 0.000 0.000 0.500
4 Pb 0.000 0.500 0.500


11.
# LaTlCdPb

An optimized crystal structure of LaTlCdPb (PBE, the Alexandria database).

Calculated values
Fermi-level density of states (states/eV/cell): 8.417
Energy (eV/cell): -51.973
Energy of formation (meV/atom): -269
Calculated volume (Å³ per atom): 28.97

Unit cell a=7.739 b=7.739 c=7.739 alpha=90.00 beta=90.00 gamma=90.00
Space group F-43m (No. 216)
Asymmetric unit:
1 La 0.000 0.000 0.000
2 Tl 0.250 0.250 0.250
3 Cd 0.000 0.000 0.500
4 Pb 0.250 0.250 0.750


12.
# LaTlCdPb

An optimized crystal structure of LaTlCdPb (PBE, the Alexandria database).

Calculated values
Fermi-level density of states (states/eV/cell): 2.007
Energy (eV/cell): -13.505
Energy of formation (meV/atom): -397
Calculated volume (Å³ per atom): 28.67

Unit cell a=4.712 b=4.865 c=5.003 alpha=90.00 beta=90.00 gamma=90.00
Space group Pmmm (No. 47)
Asymmetric unit:
1 La 0.000 0.000 0.000
2 Tl 0.500 0.000 0.500
3 Cd 0.000 0.500 0.500
4 Pb 0.500 0.500 0.000


13.
# LaYCdPb

An optimized crystal structure of LaYCdPb (PBE, the Alexandria database).

Calculated values
Fermi-level density of states (states/eV/cell): 14.659
Energy (eV/cell): -71.199
Energy of formation (meV/atom): -446
Calculated volume (Å³ per atom): 29.17

Unit cell a=7.757 b=7.757 c=7.757 alpha=90.00 beta=90.00 gamma=90.00
Space group F-43m (No. 216)
Asymmetric unit:
1 La 0.000 0.000 0.000
2 Y 0.000 0.000 0.500
3 Cd 0.250 0.250 0.250
4 Pb 0.250 0.250 0.750


14.
# La2CdPd4

An optimized crystal structure of La2CdPd4 (PBE, the Alexandria database).

Calculated values
Fermi-level density of states (states/eV/cell): 7.200
Energy (eV/cell): -66.725
Energy of formation (meV/atom): -260
Calculated volume (Å³ per atom): 26.01

Unit cell a=5.034 b=5.034 c=14.369 alpha=90.00 beta=90.00 gamma=90.00
Space group I4/mmm (No. 139)
Asymmetric unit:
1 La 0.000 0.000 0.133
2 Cd 0.000 0.000 0.500
3 Pd 0.000 0.000 0.314
4 Pd 0.000 0.500 0.000